# 1
# KBeZnHg2 | Alexandria via LeMat-Bulk | PBE | optimized geometry
# **Formation energy from the elements**: 0.08 eV per atom
# **Energy relative to the lowest polymorph listed for this composition**: 0.000 eV/f.u.
data_KBeZnHg2
_chemical_formula_sum 'K1 Be1 Zn1 Hg2'
_cell_length_a 5.018
_cell_length_b 5.018
_cell_length_c 4.695
_cell_angle_alpha 90.00
_cell_angle_beta 90.00
_cell_angle_gamma 90.00
_space_group_name_H-M_alt 'P 4/m m m'
_space_group_IT_number 123
_space_group_name_Hall '-P 4 2'
loop_
_atom_site_label
_atom_site_fract_x
_atom_site_fract_y
_atom_site_fract_z
_atom_site_occupancy
K1 0.000 0.000 0.000 1
Be1 0.500 0.500 0.500 1
Zn1 0.500 0.500 0.000 1
Hg1 0.000 0.500 0.500 1


# 2
# LaBe4Hg | Alexandria via LeMat-Bulk | PBE | optimized geometry
# **Formation energy from the elements**: 0.40 eV per atom
data_LaBe4Hg
_chemical_formula_sum 'La4 Be16 Hg4'
_cell_length_a 7.284
_cell_length_b 7.284
_cell_length_c 7.284
_cell_angle_alpha 90.00
_cell_angle_beta 90.00
_cell_angle_gamma 90.00
_space_group_name_H-M_alt 'F -4 3 m'
_space_group_IT_number 216
_space_group_name_Hall 'F -4 2 3'
loop_
_atom_site_label
_atom_site_fract_x
_atom_site_fract_y
_atom_site_fract_z
_atom_site_occupancy
La1 0.000 0.000 0.000 1
Be1 0.138 0.138 0.638 1
Hg1 0.250 0.250 0.250 1


| no. | volume (A^3/atom) | electronic total energy (eV per cell) |
| --- | --- | --- |
| 1 | 23.6 | -6.3 |
| 2 | 16.1 | -71.0 |